Entry from the Open Quantum Materials Database: Ho3Al2 after structural relaxation (PBE).

Cell lengths 8.188, 8.188, 7.566 Å; angles 90.00, 90.00, 90.00 degrees
Space group P4_2/mnm (No. 136)
Unique sites:
Ho  0.000  0.500  0.250 [4 per cell]
Ho  0.150  0.150  0.000 [4 per cell]
Ho  0.201  0.201  0.500 [4 per cell]
Al  0.119  0.881  0.304 [8 per cell]

- Total energy: -0.33607 Ry per atom

Entry from the Open Quantum Materials Database: Er2LuFe2Co7 after structural relaxation (PBE).

Cell lengths 5.0009, 5.0009, 23.6778 Å; angles 90.00, 90.00, 120.00 degrees
Space group R-3m (No. 166, hexagonal axes)
Unique sites:
Er  0.0000  0.0000  0.1402 [6 per cell]
Lu  0.0000  0.0000  0.0000 [3 per cell]
Fe  0.0000  0.0000  0.3343 [6 per cell]
Co  0.0000  0.0000  0.5000 [3 per cell]
Co  0.0034  0.5017  0.9180 [18 per cell]

- E_form: -0.212 eV per atom

Entry from the Open Quantum Materials Database: Tm after structural relaxation (PBE).

Cell lengths 3.5412, 3.5412, 5.5220 Å; angles 90.00, 90.00, 120.00 degrees
Space group P6_3/mmc (No. 194)
Unique sites:
Tm  0.3333  0.6667  0.2500 [2 per cell]

- Energy above the lowest structure with this stoichiometry: 0.0000 eV per atom
- E_form: 0.000 eV per atom

Entry from the Open Quantum Materials Database: HfCuAsOs after structural relaxation (PBE).

Cell lengths 6.369, 6.369, 6.369 Å; angles 90.00, 90.00, 90.00 degrees
Space group F-43m (No. 216)
Unique sites:
Hf  0.000  0.000  0.000 [4 per cell]
Cu  0.000  0.000  0.500 [4 per cell]
As  0.250  0.250  0.250 [4 per cell]
Os  0.250  0.250  0.750 [4 per cell]

- Energy above the lowest structure with this stoichiometry: 0.2019 eV per atom

Entry from the Open Quantum Materials Database: BeFeAsPd after structural relaxation (PBE).

Cell lengths 5.933, 5.933, 5.933 Å; angles 90.00, 90.00, 90.00 degrees
Space group F-43m (No. 216)
Unique sites:
Be  0.000  0.000  0.000 [4 per cell]
Fe  0.000  0.000  0.500 [4 per cell]
As  0.250  0.250  0.250 [4 per cell]
Pd  0.250  0.250  0.750 [4 per cell]

- Energy above the lowest structure with this stoichiometry: 0.1173 eV per atom

Entry from the Open Quantum Materials Database: NaMgNiSb after structural relaxation (PBE).

Cell lengths 6.805, 6.805, 6.805 Å; angles 90.00, 90.00, 90.00 degrees
Space group F-43m (No. 216)
Unique sites:
Na  0.000  0.000  0.000 [4 per cell]
Mg  0.000  0.000  0.500 [4 per cell]
Ni  0.250  0.250  0.750 [4 per cell]
Sb  0.250  0.250  0.250 [4 per cell]

- Energy above the lowest structure with this stoichiometry: 0.1576 eV per atom